Entry 1:
The following is a PBE calculation of a geometry-optimized Li2ZrW structure, from Alexandria via LeMat-Bulk.

Unit cell a=10.206 b=2.778 c=5.314 alpha=90.00 beta=113.97 gamma=90.00
Space group Cm (No. 8)
Asymmetric unit:
Li 0.000 0.000 0.000
Li 0.235 0.500 0.086
Zr 0.237 0.000 0.596
W 0.478 0.000 0.474

Results
Its total energy is -5.87 eV per atom. The value obtained for the spin magnetization is 0.0 μB per cell. The density of states at the Fermi level comes out at 4.1 states/eV per cell. The calculation puts the energy of formation from the pure elements at 178 kJ/mol of formula units. As for the offset from the most stable computed form: 191.9 meV/atom.

***

Entry 2:
The following is a PBE calculation of a geometry-optimized Li2ZrW structure, from Alexandria via LeMat-Bulk.

Unit cell a=2.964 b=4.584 c=10.573 alpha=90.00 beta=90.00 gamma=90.00
Space group Cmmm (No. 65)
Asymmetric unit:
Li 0.000 0.000 0.233
Zr 0.000 0.500 0.500
W 0.000 0.500 0.000

Results
Its total energy is -5.90 eV per atom. The value obtained for the spin magnetization is 0.0 μB per cell. The density of states at the Fermi level comes out at 4.9 states/eV per cell. The calculation puts the energy of formation from the pure elements at 165 kJ/mol of formula units. As for the offset from the most stable computed form: 159.5 meV/atom.

***

Entry 3:
The following is a PBE calculation of a geometry-optimized Li2ZrW structure, from Alexandria via LeMat-Bulk.

Unit cell a=6.303 b=6.303 c=6.303 alpha=90.00 beta=90.00 gamma=90.00
Space group Fm-3m (No. 225)
Asymmetric unit:
Li 0.250 0.250 0.250
Zr 0.000 0.000 0.000
W 0.000 0.000 0.500

Results
Its total energy is -5.66 eV per atom. The value obtained for the spin magnetization is 0.0 μB per cell. The density of states at the Fermi level comes out at 18.0 states/eV per cell. The calculation puts the energy of formation from the pure elements at 258 kJ/mol of formula units. As for the offset from the most stable computed form: 399.9 meV/atom.

***

Copy entry 2 word for word.
The following is a PBE calculation of a geometry-optimized Li2ZrW structure, from Alexandria via LeMat-Bulk.

Unit cell a=2.964 b=4.584 c=10.573 alpha=90.00 beta=90.00 gamma=90.00
Space group Cmmm (No. 65)
Asymmetric unit:
Li 0.000 0.000 0.233
Zr 0.000 0.500 0.500
W 0.000 0.500 0.000

Results
Its total energy is -5.90 eV per atom. The value obtained for the spin magnetization is 0.0 μB per cell. The density of states at the Fermi level comes out at 4.9 states/eV per cell. The calculation puts the energy of formation from the pure elements at 165 kJ/mol of formula units. As for the offset from the most stable computed form: 159.5 meV/atom.

***

- Among the records above, which one has the lowest offset from the most stable computed form?
  number 2

***

What did the first record say?
The following is a PBE calculation of a geometry-optimized Li2ZrW structure, from Alexandria via LeMat-Bulk.

Unit cell a=10.206 b=2.778 c=5.314 alpha=90.00 beta=113.97 gamma=90.00
Space group Cm (No. 8)
Asymmetric unit:
Li 0.000 0.000 0.000
Li 0.235 0.500 0.086
Zr 0.237 0.000 0.596
W 0.478 0.000 0.474

Results
Its total energy is -5.87 eV per atom. The value obtained for the spin magnetization is 0.0 μB per cell. The density of states at the Fermi level comes out at 4.1 states/eV per cell. The calculation puts the energy of formation from the pure elements at 178 kJ/mol of formula units. As for the offset from the most stable computed form: 191.9 meV/atom.